This record from the Alexandria database describes a relaxed Er2MnAl2Co5 crystal. The functional is PBE-GGA.

```
Er2MnAl2Co5
1.0
9.5427 0.0000 0.0000
0.0000 9.5427 0.0000
0.0000 0.0000 3.2353
Er Mn Al Co
4 2 4 10
Direct
0.1743 0.3257 0.0000
0.3257 0.8257 0.0000
0.6743 0.1743 0.0000
0.8257 0.6743 0.0000
0.0000 0.0000 0.0000
0.5000 0.5000 0.0000
0.1245 0.6245 0.0000
0.3755 0.1245 0.0000
0.6245 0.8755 0.0000
0.8755 0.3755 0.0000
0.0000 0.5000 0.5000
0.0592 0.8014 0.5000
0.1986 0.0592 0.5000
0.3014 0.5592 0.5000
0.4408 0.3014 0.5000
0.5000 0.0000 0.5000
0.5592 0.6986 0.5000
0.6986 0.4408 0.5000
0.8014 0.9408 0.5000
0.9408 0.1986 0.5000
```

The value obtained for the total energy is -6.27 eV per atom. For the calculated volume, the calculation gives 14.7 Å³ per atom. As for the formation enthalpy at 0 K: -13.7 kJ per mole of atoms.